Crystalline Ba2Mg16Zn at its relaxed geometry, computed with PBE.

Lattice parameters (Å, degrees): 7.984 7.984 7.984 82.86 82.86 82.86
Element x y z (fractional)
Ba: 0.000 0.000 0.000
Ba: 0.328 0.328 0.328
Mg: 0.009 0.009 0.514
Mg: 0.009 0.514 0.009
Mg: 0.160 0.668 0.668
Mg: 0.318 0.318 0.817
Mg: 0.318 0.817 0.318
Mg: 0.373 0.665 0.957
Mg: 0.373 0.957 0.665
Mg: 0.514 0.009 0.009
Mg: 0.578 0.578 0.578
Mg: 0.665 0.373 0.957
Mg: 0.665 0.957 0.373
Mg: 0.668 0.160 0.668
Mg: 0.668 0.668 0.160
Mg: 0.817 0.318 0.318
Mg: 0.957 0.373 0.665
Mg: 0.957 0.665 0.373
Zn: 0.768 0.768 0.768

Properties
Crystal system: trigonal
ΔE_f: -64.2 meV per atom

---

Crystalline BaSr2Hg6 at its relaxed geometry, computed with PBE.

Lattice parameters (Å, degrees): 8.892 8.892 4.110 90.00 90.00 120.00
Element x y z (fractional)
Ba: 0.000 0.000 0.000
Sr: 0.333 0.667 0.000
Sr: 0.667 0.333 0.000
Hg: 0.000 0.336 0.500
Hg: 0.000 0.664 0.500
Hg: 0.336 0.000 0.500
Hg: 0.336 0.336 0.500
Hg: 0.664 0.000 0.500
Hg: 0.664 0.664 0.500

Properties
Crystal system: hexagonal
ΔE_f: -491.0 meV per atom

---

Crystalline SrLaDy at its relaxed geometry, computed with PBE.

Lattice parameters (Å, degrees): 3.799 3.799 9.453 90.00 90.00 120.00
Element x y z (fractional)
Sr: 0.000 0.000 0.000
La: 0.333 0.667 0.635
Dy: 0.667 0.333 0.341

Properties
E above lowest polymorph: 13 meV/atom
Crystal system: trigonal
ΔE_f: 122.3 meV per atom

---

Crystalline Li2ZrRu2 at its relaxed geometry, computed with PBE.

Lattice parameters (Å, degrees): 6.985 6.985 3.072 90.00 90.00 90.00
Element x y z (fractional)
Li: 0.167 0.333 0.000
Li: 0.333 0.833 0.000
Li: 0.667 0.167 0.000
Li: 0.833 0.667 0.000
Zr: 0.000 0.000 0.500
Zr: 0.500 0.500 0.500
Ru: 0.125 0.625 0.500
Ru: 0.375 0.125 0.500
Ru: 0.625 0.875 0.500
Ru: 0.875 0.375 0.500

Properties
E above lowest polymorph: 93 meV/atom
Crystal system: tetragonal
ΔE_f: 231.2 meV per atom

---

Crystalline Eu2HgPd at its relaxed geometry, computed with PBE.

Lattice parameters (Å, degrees): 4.144 4.144 30.159 90.00 90.00 120.00
Element x y z (fractional)
Eu: 0.000 0.000 0.110
Eu: 0.000 0.000 0.890
Eu: 0.333 0.667 0.556
Eu: 0.333 0.667 0.777
Eu: 0.667 0.333 0.223
Eu: 0.667 0.333 0.444
Hg: 0.000 0.000 0.000
Hg: 0.333 0.667 0.667
Hg: 0.667 0.333 0.333
Pd: 0.000 0.000 0.500
Pd: 0.333 0.667 0.167
Pd: 0.667 0.333 0.833

Properties
E above lowest polymorph: 311 meV/atom
Crystal system: trigonal
ΔE_f: -286.0 meV per atom

---

Crystalline Ce2SmTh7 at its relaxed geometry, computed with PBE.

Lattice parameters (Å, degrees): 9.381 9.381 7.090 101.28 101.28 30.87
Element x y z (fractional)
Ce: 0.199 0.199 0.100
Ce: 0.801 0.801 0.900
Sm: 0.000 0.000 0.500
Th: 0.000 0.000 0.000
Th: 0.201 0.201 0.603
Th: 0.397 0.397 0.196
Th: 0.399 0.399 0.700
Th: 0.601 0.601 0.300
Th: 0.603 0.603 0.804
Th: 0.799 0.799 0.397

Properties
Crystal system: monoclinic
ΔE_f: 34.7 meV per atom

---

Crystalline Ca2TbAl9 at its relaxed geometry, computed with PBE.

Lattice parameters (Å, degrees): 9.510 9.510 9.510 34.18 34.18 34.18
Element x y z (fractional)
Ca: 0.142 0.142 0.142
Ca: 0.858 0.858 0.858
Tb: 0.000 0.000 0.000
Al: 0.077 0.584 0.584
Al: 0.335 0.335 0.335
Al: 0.416 0.416 0.923
Al: 0.416 0.923 0.416
Al: 0.500 0.500 0.500
Al: 0.584 0.077 0.584
Al: 0.584 0.584 0.077
Al: 0.665 0.665 0.665
Al: 0.923 0.416 0.416

Properties
Crystal system: trigonal
ΔE_f: -274.6 meV per atom

---

Crystalline Dy2In2Pb at its relaxed geometry, computed with PBE.

Lattice parameters (Å, degrees): 4.722 16.157 3.529 90.00 90.00 90.00
Element x y z (fractional)
Dy: 0.000 0.117 0.000
Dy: 0.000 0.883 0.000
Dy: 0.500 0.383 0.000
Dy: 0.500 0.617 0.000
In: 0.000 0.301 0.500
In: 0.000 0.699 0.500
In: 0.500 0.199 0.500
In: 0.500 0.801 0.500
Pb: 0.000 0.500 0.500
Pb: 0.500 0.000 0.500

Properties
Crystal system: orthorhombic
ΔE_f: -412.8 meV per atom

---

Q: Number 5 is which compound?
A: Eu2HgPd

---

Q: Which of these has the lowest ΔE_f?
A: BaSr2Hg6